Here is a relaxed structure of LaPtNO from OQMD. Energies are from PBE-GGA.

Calculated values
Energy relative to the lowest polymorph listed for this composition   0.546 eV per atom

abc: 5.1981 5.1981 4.4926
angles: 90.00 90.00 90.00
Sites, in units of the cell vectors:
La (0.2500, 0.7500, 0.0000)
La (0.7500, 0.2500, 0.0000)
Pt (0.2500, 0.2500, 0.4967)
Pt (0.7500, 0.7500, 0.5033)
N (0.2500, 0.2500, 0.9968)
N (0.7500, 0.7500, 0.0032)
O (0.2500, 0.7500, 0.5000)
O (0.7500, 0.2500, 0.5000)

***

Here is a relaxed structure of LaPtNO from OQMD. Energies are from PBE-GGA.

Calculated values
Energy relative to the lowest polymorph listed for this composition   0.065 eV per atom

abc: 3.6737 6.1306 5.7189
angles: 90.00 90.00 90.00
Sites, in units of the cell vectors:
La (0.0000, 0.1584, 0.0000)
La (0.0000, 0.8416, 0.5000)
Pt (0.5000, 0.4147, 0.4603)
Pt (0.5000, 0.5853, 0.9603)
N (0.0000, 0.3996, 0.4584)
N (0.0000, 0.6004, 0.9584)
O (0.5000, 0.0145, 0.7582)
O (0.5000, 0.9855, 0.2582)

***

Here is a relaxed structure of LaPtNO from OQMD. Energies are from PBE-GGA.

Calculated values
Energy relative to the lowest polymorph listed for this composition   0.117 eV per atom

abc: 4.6058 7.3252 4.8923
angles: 90.00 90.00 90.00
Sites, in units of the cell vectors:
La (0.0000, 0.1832, 0.0000)
La (0.0000, 0.8168, 0.5000)
Pt (0.5000, 0.4554, 0.5902)
Pt (0.5000, 0.5446, 0.0902)
N (0.5000, 0.3033, 0.9001)
N (0.5000, 0.6967, 0.4001)
O (0.0000, 0.1141, 0.4837)
O (0.0000, 0.8859, 0.9837)

***

Here is a relaxed structure of LaSmNO from OQMD. Energies are from PBE-GGA.

Calculated values
Energy relative to the lowest polymorph listed for this composition   0.420 eV per atom

abc: 4.3132 4.3132 8.6422
angles: 90.00 90.00 90.00
Sites, in units of the cell vectors:
La (0.2500, 0.2500, 0.1225)
La (0.7500, 0.7500, 0.8775)
Sm (0.2500, 0.7500, 0.5000)
Sm (0.7500, 0.2500, 0.5000)
N (0.2500, 0.2500, 0.6304)
N (0.7500, 0.7500, 0.3696)
O (0.2500, 0.7500, 0.0000)
O (0.7500, 0.2500, 0.0000)

***

Here is a relaxed structure of LaSmNO from OQMD. Energies are from PBE-GGA.

Calculated values
Energy relative to the lowest polymorph listed for this composition   0.060 eV per atom

abc: 7.0387 8.4285 5.2086
angles: 90.00 90.00 90.00
Sites, in units of the cell vectors:
La (0.0811, 0.1300, 0.0000)
La (0.4189, 0.1300, 0.5000)
La (0.5811, 0.8700, 0.0000)
La (0.9189, 0.8700, 0.5000)
Sm (0.0776, 0.6195, 0.0012)
Sm (0.4224, 0.6195, 0.5012)
Sm (0.5776, 0.3805, 0.0012)
Sm (0.9224, 0.3805, 0.5012)
N (0.0642, 0.1326, 0.4998)
N (0.4358, 0.1326, 0.9998)
N (0.5642, 0.8674, 0.4998)
N (0.9358, 0.8674, 0.9998)
O (0.0953, 0.6206, 0.5012)
O (0.4047, 0.6206, 0.0012)
O (0.5953, 0.3794, 0.5012)
O (0.9047, 0.3794, 0.0012)

***

Here is a relaxed structure of LaSmNO from OQMD. Energies are from PBE-GGA.

Calculated values
Energy relative to the lowest polymorph listed for this composition   0.000 eV per atom

abc: 5.1504 4.1442 7.1954
angles: 90.00 90.00 90.00
Sites, in units of the cell vectors:
La (0.2500, 0.0000, 0.1655)
La (0.7500, 0.0000, 0.8345)
Sm (0.2500, 0.5000, 0.6639)
Sm (0.7500, 0.5000, 0.3361)
N (0.2500, 0.5000, 0.3404)
N (0.7500, 0.5000, 0.6596)
O (0.2500, 0.0000, 0.8130)
O (0.7500, 0.0000, 0.1870)

***

Here is a relaxed structure of LaSmNO from OQMD. Energies are from PBE-GGA.

Calculated values
Energy relative to the lowest polymorph listed for this composition   0.105 eV per atom

abc: 4.0034 6.9838 5.8594
angles: 90.00 90.00 90.00
Sites, in units of the cell vectors:
La (0.0000, 0.1528, 0.0000)
La (0.0000, 0.8472, 0.5000)
Sm (0.5000, 0.3273, 0.5090)
Sm (0.5000, 0.6727, 0.0090)
N (0.0000, 0.1793, 0.4187)
N (0.0000, 0.8207, 0.9187)
O (0.5000, 0.3570, 0.8980)
O (0.5000, 0.6430, 0.3980)

***

Here is a relaxed structure of LaSmNO from OQMD. Energies are from PBE-GGA.

Calculated values
Energy relative to the lowest polymorph listed for this composition   0.528 eV per atom

abc: 4.3124 4.3124 8.3078
angles: 90.00 90.00 90.00
Sites, in units of the cell vectors:
La (0.2500, 0.7500, 0.0000)
La (0.7500, 0.2500, 0.0000)
Sm (0.2500, 0.2500, 0.3906)
Sm (0.7500, 0.7500, 0.6094)
N (0.2500, 0.2500, 0.8512)
N (0.7500, 0.7500, 0.1488)
O (0.2500, 0.7500, 0.5000)
O (0.7500, 0.2500, 0.5000)

***

Here is a relaxed structure of LaTaN2O from OQMD. Energies are from PBE-GGA.

Calculated values
Calculated total energy   -0.7004 Ry per atom

abc: 5.7625 5.7625 14.3108
angles: 90.00 90.00 120.00
Sites, in units of the cell vectors:
La (0.0000, 0.0000, 0.2500)
La (0.0000, 0.0000, 0.7500)
La (0.3333, 0.6667, 0.1056)
La (0.3333, 0.6667, 0.3944)
La (0.6667, 0.3333, 0.6056)
La (0.6667, 0.3333, 0.8944)
Ta (0.0000, 0.0000, 0.0000)
Ta (0.0000, 0.0000, 0.5000)
Ta (0.3333, 0.6667, 0.6471)
Ta (0.3333, 0.6667, 0.8529)
Ta (0.6667, 0.3333, 0.1471)
Ta (0.6667, 0.3333, 0.3529)
N (0.1620, 0.3240, 0.5871)
N (0.1620, 0.3240, 0.9129)
N (0.1620, 0.8380, 0.5871)
N (0.1620, 0.8380, 0.9129)
N (0.3240, 0.1620, 0.0871)
N (0.3240, 0.1620, 0.4129)
N (0.6760, 0.8380, 0.5871)
N (0.6760, 0.8380, 0.9129)
N (0.8380, 0.1620, 0.0871)
N (0.8380, 0.1620, 0.4129)
N (0.8380, 0.6760, 0.0871)
N (0.8380, 0.6760, 0.4129)
O (0.0013, 0.5007, 0.7500)
O (0.4993, 0.5007, 0.7500)
O (0.4993, 0.9987, 0.7500)
O (0.5007, 0.0013, 0.2500)
O (0.5007, 0.4993, 0.2500)
O (0.9987, 0.4993, 0.2500)

***

Here is a relaxed structure of LaTaN2O from OQMD. Energies are from PBE-GGA.

Calculated values
Calculated total energy   -0.7058 Ry per atom

abc: 7.0375 7.0375 7.0375
angles: 109.97 109.97 108.47
Sites, in units of the cell vectors:
La (0.2222, 0.2222, 0.0000)
La (0.2500, 0.7500, 0.5000)
La (0.7500, 0.2500, 0.5000)
La (0.7778, 0.7778, 0.0000)
Ta (0.2588, 0.2588, 0.5175)
Ta (0.2588, 0.7412, 0.0000)
Ta (0.7412, 0.2588, 0.0000)
Ta (0.7412, 0.7412, 0.4825)
N (0.0000, 0.0000, 0.5000)
N (0.0000, 0.5000, 0.0000)
N (0.2238, 0.5000, 0.7238)
N (0.5000, 0.0000, 0.0000)
N (0.5000, 0.2238, 0.7238)
N (0.5000, 0.5000, 0.5000)
N (0.5000, 0.7762, 0.2762)
N (0.7762, 0.5000, 0.2762)
O (0.0000, 0.2255, 0.2255)
O (0.0000, 0.7745, 0.7745)
O (0.2255, 0.0000, 0.2255)
O (0.7745, 0.0000, 0.7745)

***

Here is a relaxed structure of LaTaN2O from OQMD. Energies are from PBE-GGA.

Calculated values
Calculated total energy   -0.7072 Ry per atom

abc: 5.8482 3.9173 8.1142
angles: 90.00 110.16 90.00
Sites, in units of the cell vectors:
La (0.2278, 0.2500, 0.1787)
La (0.7722, 0.7500, 0.8213)
Ta (0.1377, 0.2500, 0.6641)
Ta (0.8623, 0.7500, 0.3359)
N (0.0184, 0.7500, 0.6142)
N (0.0365, 0.2500, 0.8677)
N (0.9635, 0.7500, 0.1323)
N (0.9816, 0.2500, 0.3858)
O (0.4805, 0.2500, 0.7391)
O (0.5195, 0.7500, 0.2609)

***

Here is a relaxed structure of LaTaN2O from OQMD. Energies are from PBE-GGA.

Calculated values
Calculated total energy   -0.7107 Ry per atom

abc: 5.7562 9.8867 9.8878
angles: 108.97 90.04 90.00
Sites, in units of the cell vectors:
La (0.0000, 0.0000, 0.0000)
La (0.0008, 0.5027, 0.5022)
La (0.4825, 0.7455, 0.7432)
La (0.4864, 0.2467, 0.2468)
La (0.4982, 0.4752, 0.9756)
La (0.5019, 0.9730, 0.4722)
La (0.9829, 0.2278, 0.7264)
La (0.9851, 0.7323, 0.2317)
Ta (0.0022, 0.3738, 0.1175)
Ta (0.0052, 0.1118, 0.3659)
Ta (0.0048, 0.8623, 0.6026)
Ta (0.4731, 0.1093, 0.8677)
Ta (0.5020, 0.3581, 0.6012)
Ta (0.5044, 0.6068, 0.3626)
Ta (0.5049, 0.8715, 0.1123)
Ta (0.9725, 0.6080, 0.8680)
N (0.0609, 0.9952, 0.4898)
N (0.0645, 0.4945, 0.9890)
N (0.2042, 0.2773, 0.4798)
N (0.2055, 0.4808, 0.2699)
N (0.2132, 0.9843, 0.7671)
N (0.2506, 0.0193, 0.2212)
N (0.2536, 0.7326, 0.5153)
N (0.2608, 0.2312, 0.0176)
N (0.5598, 0.4872, 0.4834)
N (0.5657, 0.9841, 0.9770)
N (0.7049, 0.4930, 0.1979)
N (0.7064, 0.2073, 0.4914)
N (0.7135, 0.7065, 0.9939)
N (0.7508, 0.7527, 0.4539)
N (0.7518, 0.9577, 0.2442)
N (0.7611, 0.4595, 0.7426)
O (0.2127, 0.7746, 0.9665)
O (0.2577, 0.5340, 0.7265)
O (0.3979, 0.7435, 0.2355)
O (0.3999, 0.2569, 0.7478)
O (0.7095, 0.0095, 0.6991)
O (0.7593, 0.2483, 0.9419)
O (0.8971, 0.2258, 0.2169)
O (0.9007, 0.7399, 0.7315)

***

Here is a relaxed structure of LaTaN2O from OQMD. Energies are from PBE-GGA.

Calculated values
Calculated total energy   -0.7106 Ry per atom

abc: 5.7137 5.7182 9.8669
angles: 73.75 73.68 60.73
Sites, in units of the cell vectors:
La (0.0000, 0.0000, 0.0000)
La (0.2302, 0.2692, 0.2537)
La (0.4967, 0.4993, 0.5058)
La (0.7288, 0.7685, 0.7540)
Ta (0.1064, 0.1491, 0.6296)
Ta (0.3551, 0.3973, 0.8677)
Ta (0.6344, 0.6208, 0.1338)
Ta (0.8431, 0.8866, 0.3806)
N (0.0076, 0.5220, 0.0202)
N (0.1629, 0.3252, 0.7525)
N (0.2696, 0.7644, 0.7678)
N (0.5227, 0.0152, 0.5245)
N (0.6598, 0.8337, 0.2485)
N (0.7250, 0.2138, 0.7309)
N (0.7587, 0.2761, 0.2725)
N (0.9843, 0.4761, 0.4735)
O (0.0934, 0.9178, 0.4870)
O (0.2163, 0.7306, 0.2160)
O (0.4598, 0.9647, 0.9761)
O (0.5698, 0.4015, 0.0059)

***

Here is a relaxed structure of LaTaN2O from OQMD. Energies are from PBE-GGA.

Calculated values
Calculated total energy   -0.7069 Ry per atom

abc: 5.6236 5.6236 5.7162
angles: 118.98 118.98 90.71
Sites, in units of the cell vectors:
La (0.2468, 0.2468, 0.4914)
La (0.7532, 0.7532, 0.5086)
Ta (0.0000, 0.5000, 0.0000)
Ta (0.5000, 0.0000, 0.0000)
N (0.1808, 0.1808, 0.9909)
N (0.2550, 0.7450, 0.5000)
N (0.7450, 0.2550, 0.5000)
N (0.8192, 0.8192, 0.0091)
O (0.3155, 0.6845, 0.0000)
O (0.6845, 0.3155, 0.0000)

***

Here is a relaxed structure of LaTaN2O from OQMD. Energies are from PBE-GGA.

Calculated values
Calculated total energy   -0.7098 Ry per atom

abc: 8.0439 8.1501 11.3782
angles: 90.00 134.93 90.00
Sites, in units of the cell vectors:
La (0.0259, 0.2436, 0.0121)
La (0.0259, 0.2564, 0.5121)
La (0.4722, 0.7453, 0.4853)
La (0.4722, 0.7547, 0.9853)
La (0.5278, 0.2453, 0.0147)
La (0.5278, 0.2547, 0.5147)
La (0.9741, 0.7436, 0.4879)
La (0.9741, 0.7564, 0.9879)
Ta (0.0156, 0.0059, 0.2611)
Ta (0.0156, 0.4941, 0.7611)
Ta (0.4927, 0.5042, 0.2386)
Ta (0.4927, 0.9958, 0.7386)
Ta (0.5073, 0.0042, 0.2614)
Ta (0.5073, 0.4958, 0.7614)
Ta (0.9844, 0.5059, 0.2389)
Ta (0.9844, 0.9941, 0.7389)
N (0.0079, 0.7498, 0.2212)
N (0.0079, 0.7502, 0.7212)
N (0.1977, 0.5315, 0.9994)
N (0.1977, 0.9685, 0.4994)
N (0.2881, 0.0269, 0.2871)
N (0.2881, 0.4731, 0.7871)
N (0.4835, 0.2474, 0.2092)
N (0.4835, 0.2526, 0.7092)
N (0.5165, 0.7474, 0.2908)
N (0.5165, 0.7526, 0.7908)
N (0.7119, 0.5269, 0.2129)
N (0.7119, 0.9731, 0.7129)
N (0.8023, 0.0315, 0.5006)
N (0.8023, 0.4685, 0.0006)
N (0.9921, 0.2498, 0.2788)
N (0.9921, 0.2502, 0.7788)
O (0.2156, 0.5397, 0.4993)
O (0.2156, 0.9603, 0.9993)
O (0.3019, 0.0346, 0.8022)
O (0.3019, 0.4654, 0.3022)
O (0.6981, 0.5346, 0.6978)
O (0.6981, 0.9654, 0.1978)
O (0.7844, 0.0397, 0.0007)
O (0.7844, 0.4603, 0.5007)

***

Here is a relaxed structure of LaTaN2O from OQMD. Energies are from PBE-GGA.

Calculated values
Calculated total energy   -0.7100 Ry per atom

abc: 5.7403 8.0607 17.2380
angles: 89.97 89.92 89.98
Sites, in units of the cell vectors:
La (0.0000, 0.0000, 0.0000)
La (0.0003, 0.0052, 0.6665)
La (0.0086, 0.0040, 0.3255)
La (0.4475, 0.5118, 0.4949)
La (0.4541, 0.5070, 0.8318)
La (0.4689, 0.5092, 0.1662)
La (0.4927, 0.0008, 0.8341)
La (0.4975, 0.0018, 0.5020)
La (0.5141, 0.0045, 0.1657)
La (0.9505, 0.5038, 0.0012)
La (0.9541, 0.5124, 0.3285)
La (0.9549, 0.5174, 0.6675)
Ta (0.0015, 0.2533, 0.1643)
Ta (0.4683, 0.7607, 0.6650)
Ta (0.4713, 0.2479, 0.9957)
Ta (0.4792, 0.7568, 0.0063)
Ta (0.4883, 0.7696, 0.3328)
Ta (0.4944, 0.2533, 0.6693)
Ta (0.4963, 0.2474, 0.3275)
Ta (0.9706, 0.2563, 0.4922)
Ta (0.9751, 0.2552, 0.8386)
Ta (0.9763, 0.7525, 0.8267)
Ta (0.9883, 0.7525, 0.1669)
Ta (0.9877, 0.7637, 0.4911)
N (0.0070, 0.5086, 0.8536)
N (0.0075, 0.0091, 0.8066)
N (0.1929, 0.7124, 0.4045)
N (0.2031, 0.7176, 0.0686)
N (0.2069, 0.2982, 0.0705)
N (0.2170, 0.7183, 0.7388)
N (0.2508, 0.2204, 0.2432)
N (0.2654, 0.7975, 0.2393)
N (0.2658, 0.7793, 0.5715)
N (0.2842, 0.2319, 0.9001)
N (0.4614, 0.0102, 0.3622)
N (0.4688, 0.0117, 0.6840)
N (0.4806, 0.0071, 0.0173)
N (0.6923, 0.7176, 0.4294)
N (0.7018, 0.7185, 0.0896)
N (0.7027, 0.2983, 0.4266)
N (0.7092, 0.2936, 0.7545)
N (0.7143, 0.7202, 0.7555)
N (0.7489, 0.2200, 0.2555)
N (0.7616, 0.7934, 0.2594)
N (0.7774, 0.2235, 0.9268)
N (0.9582, 0.0104, 0.1380)
N (0.9882, 0.0119, 0.4766)
N (0.9881, 0.5079, 0.1875)
O (0.1969, 0.3170, 0.4084)
O (0.2104, 0.3121, 0.7278)
O (0.2820, 0.2323, 0.5665)
O (0.2865, 0.7874, 0.9017)
O (0.4960, 0.5064, 0.3091)
O (0.5164, 0.5118, 0.9687)
O (0.5257, 0.5080, 0.6342)
O (0.6983, 0.3111, 0.0893)
O (0.7733, 0.8030, 0.5940)
O (0.7756, 0.2221, 0.5916)
O (0.7790, 0.7972, 0.9240)
O (0.9920, 0.5054, 0.5279)